CdCo2B2, optimized geometry, DFT PBE; spin magnetization = 0.000 μB per cell; total DFT energy (no corrections) = -5.30 eV per atom; energy relative to the elements = 0.393 eV per atom; ρ = 8.12 g cm⁻³
1.0
6.3773 0.0000 0.0000
0.0000 6.3773 0.0000
0.0000 0.0000 2.5319
B Co Cd
4 4 2
Direct
0.1358 0.6358 0.5000
0.6358 0.8642 0.5000
0.8642 0.3642 0.5000
0.3642 0.1358 0.5000
0.3628 0.8628 0.0000
0.8628 0.6372 0.0000
0.6372 0.1372 0.0000
0.1372 0.3628 0.0000
0.0000 0.0000 0.0000
0.5000 0.5000 0.0000

***

CdCo2B, optimized geometry, DFT PBE; spin magnetization = 0.000 μB per cell; total DFT energy (no corrections) = -4.74 eV per atom; energy relative to the elements = 0.707 eV per atom; ΔE to the lowest computed polymorph = 59 meV per atom; ρ = 8.66 g cm⁻³
1.0
0.0000 2.8484 2.8484
2.8484 0.0000 2.8484
2.8484 2.8484 0.0000
B Co Cd
1 2 1
Direct
0.0000 0.0000 0.0000
0.2500 0.2500 0.2500
0.7500 0.7500 0.7500
0.5000 0.5000 0.5000

***

> Among the records above, which one has the lowest ρ?

CdCo2B2

***

> Which of these has the lowest energy relative to the elements?

CdCo2B2